Below is a geometry-optimized Cu2HIO structure, with properties calculated at the GGA-PBE level.

Results
Total DFT energy (no corrections) = -3.336 eV/atom
SG = P4/mmm, No. 123

extended XYZ file:
```
5
Lattice="-2.6294 3.5747 -0.8036 -0.6334 0.2515 3.1914 3.5578 2.7274 0.4912" Properties=species:S:1:pos:R:3 pbc="T T T"
I 0.1475 3.2768 1.4395
H -0.3167 0.1258 1.5957
Cu -1.3147 1.7873 -0.4018
Cu 1.7789 1.3637 0.2456
O 0.0000 0.0000 0.0000
```